{"formula": "TbY7Sc2", "functional": "PBE", "state": "optimized geometry", "volume_a3_per_atom": 30.79, "space_group": "P-1", "energy_ev_per_atom": -6.182, "dos_at_fermi_per_ev_atom": 1.6968, "lattice_angstrom": [[3.501, 0.000, 0.000], [-0.032, 8.825, 0.000], [-0.824, -3.414, 9.965]], "species": ["Tb", "Y", "Y", "Y", "Y", "Y", "Y", "Y", "Sc", "Sc"], "frac_coords": [[0.000, 0.000, 0.000], [0.000, 0.000, 0.500], [0.065, 0.420, 0.129], [0.408, 0.799, 0.704], [0.490, 0.216, 0.814], [0.510, 0.784, 0.186], [0.592, 0.201, 0.296], [0.935, 0.580, 0.871], [0.274, 0.399, 0.578], [0.726, 0.601, 0.422]]}

{"formula": "Cs4Rb3NaBr8", "functional": "PBE", "state": "optimized geometry", "volume_a3_per_atom": 44.54, "space_group": "C2/m", "energy_ev_per_atom": -3.032, "dos_at_fermi_per_ev_atom": 0.0000, "raw_formation_energy_ev_per_atom": -1.72, "lattice_angstrom": [[8.679, -5.008, 0.000], [8.679, 5.008, 0.000], [-5.781, 0.000, 8.197]], "species": ["Cs", "Cs", "Cs", "Cs", "Rb", "Rb", "Rb", "Na", "Br", "Br", "Br", "Br", "Br", "Br", "Br", "Br"], "frac_coords": [[0.000, 0.000, 0.000], [0.000, 0.500, 0.000], [0.500, 0.000, 0.000], [0.500, 0.500, 0.000], [0.000, 0.000, 0.500], [0.000, 0.500, 0.500], [0.500, 0.000, 0.500], [0.500, 0.500, 0.500], [0.245, 0.245, 0.735], [0.258, 0.733, 0.724], [0.265, 0.265, 0.274], [0.267, 0.742, 0.276], [0.733, 0.258, 0.724], [0.735, 0.735, 0.726], [0.742, 0.267, 0.276], [0.755, 0.755, 0.265]]}

{"formula": "ZrSb2RuI", "functional": "PBE", "state": "optimized geometry", "volume_a3_per_atom": 27.90, "de_polymorph_kj_per_mol_fu": 0.0, "space_group": "P4/mmm", "energy_ev_per_atom": -4.886, "dos_at_fermi_per_ev_atom": 1.3124, "raw_formation_energy_ev_per_atom": 0.64, "lattice_angstrom": [[5.065, 0.000, 0.000], [0.000, 5.065, 0.000], [0.000, 0.000, 5.438]], "species": ["Zr", "Sb", "Sb", "Ru", "I"], "frac_coords": [[0.000, 0.000, 0.000], [0.000, 0.500, 0.500], [0.500, 0.000, 0.500], [0.500, 0.500, 0.500], [0.500, 0.500, 0.000]]}